No. 1
First-principles (GGA-PBE) data for a relaxed structure of K2Co, as listed in Alexandria via LeMat-Bulk.

```
K2Co
1.0
8.2897 0.0000 0.0000
0.0000 8.5541 0.0000
0.0000 0.0000 3.8743
K Co
4 2
Direct
0.2179 0.1741 0.0000
0.2821 0.6741 0.5000
0.7179 0.3259 0.5000
0.7821 0.8259 0.0000
0.0000 0.5000 0.0000
0.5000 0.0000 0.5000
```

Summary:
The calculation puts the density of states at the Fermi level at 0.85 states/eV/atom. As for the symmetry: Pnnm.

---

No. 2
First-principles (GGA-PBE) data for a relaxed structure of K5Co4, as listed in Alexandria via LeMat-Bulk.

```
K5Co4
1.0
-5.8579 5.8579 2.1020
5.8579 -5.8579 2.1020
5.8579 5.8579 -2.1020
K Co
5 4
Direct
0.0000 0.0000 0.0000
0.3240 0.3240 0.6479
0.3240 0.6760 0.0000
0.6760 0.3240 0.0000
0.6760 0.6760 0.3521
0.0000 0.4086 0.4086
0.0000 0.5914 0.5914
0.4086 0.0000 0.4086
0.5914 0.0000 0.5914
```

Summary:
The calculation puts the density of states at the Fermi level at 1.35 states/eV/atom. As for the symmetry: I4/mmm.

---

The evaluated raw total energy for the records listed, in turn: -12.63, -26.32 eV per cell.
The evaluated ΔH_f (0 K) for the records listed, in turn: 996, 843 meV/atom.